(1)
DFT (SCAN) results for Li12Al3Si4 at its PBEsol-relaxed geometry.

Summary:
Raw formation energy   -0.1320 eV/atom
Crystal system   cubic
Symmetry   I-43d
Calculated total energy   -0.3656 Ry per atom
Size of the total moment   0.00 Bohr magnetons per cell

abc: 9.018 9.018 9.018
angles: 109.47 109.47 109.47
Element x y z (fractional)
1 Li 0.037 0.615 0.347
2 Li 0.078 0.309 0.963
3 Li 0.115 0.537 0.847
4 Li 0.153 0.768 0.691
5 Li 0.191 0.268 0.653
6 Li 0.232 0.422 0.385
7 Li 0.268 0.653 0.191
8 Li 0.309 0.963 0.078
9 Li 0.347 0.037 0.615
10 Li 0.385 0.232 0.422
11 Li 0.422 0.385 0.232
12 Li 0.463 0.809 0.578
13 Li 0.537 0.847 0.115
14 Li 0.578 0.463 0.809
15 Li 0.615 0.347 0.037
16 Li 0.653 0.191 0.268
17 Li 0.691 0.153 0.768
18 Li 0.732 0.885 0.922
19 Li 0.768 0.691 0.153
20 Li 0.809 0.578 0.463
21 Li 0.847 0.115 0.537
22 Li 0.885 0.922 0.732
23 Li 0.922 0.732 0.885
24 Li 0.963 0.078 0.309
25 Al 0.125 0.875 0.250
26 Al 0.250 0.125 0.875
27 Al 0.375 0.625 0.750
28 Al 0.625 0.750 0.375
29 Al 0.750 0.375 0.625
30 Al 0.875 0.250 0.125
31 Si 0.000 0.408 0.500
32 Si 0.000 0.908 0.500
33 Si 0.092 0.092 0.092
34 Si 0.408 0.500 0.000
35 Si 0.500 0.000 0.408
36 Si 0.500 0.000 0.908
37 Si 0.592 0.592 0.592
38 Si 0.908 0.500 0.000

=====

(2)
DFT (SCAN) results for LiAlSi at its PBEsol-relaxed geometry.

Summary:
Raw formation energy   -0.0263 eV/atom
Crystal system   hexagonal
Symmetry   P-6m2
Calculated total energy   -0.4958 Ry per atom
Size of the total moment   0.00 Bohr magnetons per cell

abc: 4.324 4.324 2.954
angles: 90.00 90.00 120.00
Element x y z (fractional)
1 Li 0.000 0.000 0.000
2 Al 0.667 0.333 0.500
3 Si 0.333 0.667 0.500

=====

(3)
DFT (SCAN) results for LiSm2Al at its PBEsol-relaxed geometry.

Summary:
Formation energy from the elements   -214 meV/atom
Crystal system   cubic
Symmetry   Fm-3m
Calculated total energy   -1.8353 Ry per atom
Size of the total moment   0.01 Bohr magnetons per cell

abc: 5.174 5.174 5.174
angles: 60.00 60.00 60.00
Element x y z (fractional)
1 Li 0.000 0.000 0.000
2 Sm 0.250 0.250 0.250
3 Sm 0.750 0.750 0.750
4 Al 0.500 0.500 0.500

=====

(4)
DFT (SCAN) results for Sr3LiAl at its PBEsol-relaxed geometry.

Summary:
Formation energy from the elements   159 meV/atom
Crystal system   cubic
Symmetry   Pm-3m
Calculated total energy   -1.1197 Ry per atom
Size of the total moment   0.04 Bohr magnetons per cell

abc: 6.263 6.263 6.263
angles: 90.00 90.00 90.00
Element x y z (fractional)
1 Sr 0.000 0.000 0.500
2 Sr 0.000 0.500 0.000
3 Sr 0.500 0.000 0.000
4 Li 0.500 0.500 0.500
5 Al 0.000 0.000 0.000